First-principles (PBE) data for crystalline Ba2TaCr at its relaxed geometry, as listed in Alexandria via LeMat-Bulk.

Unit cell a=5.502 b=5.502 c=4.414 alpha=90.00 beta=90.00 gamma=90.00
Site moments in Bohr magnetons follow the coordinates.
Element x y z (fractional)
Ba 0.000 0.000 0.000  -0.07
Ba 0.500 0.500 0.000  -0.07
Cr 0.500 0.000 0.500  3.97
Ta 0.000 0.500 0.500  -1.69

As for the space group: P4/mmm. The value obtained for the formation energy is 1.288 eV/atom.